An optimized crystal structure of InBiF2, computed with PBE.

a b c (Å): 7.0619 7.0619 6.3756
angles (deg): 90.00 90.00 90.00
Last column: nearest neighbours and their distance in Å.
Sites, in units of the cell vectors:
In: 0.0000 0.0000 0.0000  4 F 2.25
In: 0.0000 0.5000 0.2500  4 F 2.25
In: 0.5000 0.0000 0.7500  4 F 2.25
In: 0.5000 0.5000 0.5000  4 F 2.25
Bi: 0.0000 0.0000 0.5000  8 F 3.07-3.19, 2 In 3.19
Bi: 0.0000 0.5000 0.7500  8 F 3.07-3.19, 2 In 3.19
Bi: 0.5000 0.0000 0.2500  8 F 3.07-3.19, 2 In 3.19
Bi: 0.5000 0.5000 0.0000  8 F 3.07-3.19, 2 In 3.19
F: 0.1633 0.2500 0.1250  2 In 2.25
F: 0.2500 0.6633 0.3750  2 In 2.25
F: 0.2500 0.8367 0.8750  2 In 2.25
F: 0.3367 0.2500 0.6250  2 In 2.25
F: 0.6633 0.7500 0.6250  2 In 2.25
F: 0.7500 0.1633 0.8750  2 In 2.25
F: 0.7500 0.3367 0.3750  2 In 2.25
F: 0.8367 0.7500 0.1250  2 In 2.25

Total DFT energy (no corrections) (eV/cell): -61.2
Symmetry: I-42d, No. 122
Crystal system: tetragonal
Mass density (g/cm3): 7.558